[1]
This record from the Alexandria database describes Cr4Ir3 after structural relaxation. The functional is PBE-GGA.

```
7
Lattice="4.8779 -9.9206 0.9424 1.5216 -10.5174 3.1891 -4.1958 9.5715 -3.7258" Properties=species:S:1:pos:R:3 pbc="T T T"
Cr 2.7054 -8.6402 1.7466
Ir 4.5128 -14.4124 2.9134
Ir 0.0000 0.0000 0.0000
Cr 3.6941 -11.7978 2.3849
Cr 5.5634 -17.7679 3.5917
Ir 1.8867 -6.0256 1.2181
Cr 0.8361 -2.6701 0.5398
```

Calculated values
crystal system	tetragonal
relative energy among the computed polymorphs	0.000	eV per atom
formation energy	0.045	eV/atom
M_tot	0.00	μB per cell


[2]
This record from the Alexandria database describes YCrOs after structural relaxation. The functional is PBE-GGA.

```
3
Lattice="-1.6572 -4.0242 -1.3779 1.6377 -3.8724 1.7780 -2.5862 -2.4897 2.8198" Properties=species:S:1:pos:R:3 pbc="T T T"
Os -1.3029 -5.1931 1.6100
Cr 0.0000 0.0000 0.0000
Y -1.9543 -7.7897 2.4150
```

Calculated values
crystal system	cubic
relative energy among the computed polymorphs	1.240	eV per atom
formation energy	1.333	eV/atom
M_tot	3.89	μB per cell


[3]
This record from the Alexandria database describes CsTl2Ga2 after structural relaxation. The functional is PBE-GGA.

```
10
Lattice="-0.6431 -0.7455 9.4854 -8.9100 -3.2877 -0.8625 1.2064 -3.2244 -0.1716" Properties=species:S:1:pos:R:3 pbc="T T T"
Tl -6.1850 -2.7236 7.6937
Ga -5.2672 -3.8536 0.7605
Ga -0.9432 -2.3616 3.1237
Cs 0.0000 0.0000 0.0000
Ga -3.0795 -3.4040 7.6907
Cs -4.7766 -2.0166 4.3114
Tl -1.5775 -0.9030 5.8764
Ga -7.4035 -4.8960 5.3275
Tl -3.3681 -1.3096 0.9292
Tl -7.9756 -3.1302 2.7465
```

Calculated values
crystal system	tetragonal
relative energy among the computed polymorphs	0.126	eV per atom
formation energy	0.083	eV/atom
M_tot	0.00	μB per cell


[4]
This record from the Alexandria database describes TlFe2Co after structural relaxation. The functional is PBE-GGA.

```
4
Lattice="3.7675 0.0000 0.0000 0.0000 3.7712 0.0000 0.0000 0.0000 4.0008" Properties=species:S:1:pos:R:3 pbc="T T T"
Co 0.0000 1.8856 2.0004
Fe 0.0000 0.0000 0.0000
Tl 1.8838 0.0000 2.0004
Fe 1.8838 1.8856 0.0000
```

Calculated values
crystal system	tetragonal
formation energy	0.410	eV/atom
M_tot	6.57	μB per cell


[5]
This record from the Alexandria database describes CaSc2Br after structural relaxation. The functional is PBE-GGA.

```
4
Lattice="6.0920 0.0066 0.0000 2.6006 5.5090 0.0000 -4.3463 -2.7578 3.2583" Properties=species:S:1:pos:R:3 pbc="T T T"
Br 4.3463 2.7578 0.0000
Sc 0.0000 0.0000 0.0000
Sc 1.3003 2.7545 1.6292
Ca 3.0460 0.0033 1.6292
```

Calculated values
crystal system	tetragonal
relative energy among the computed polymorphs	0.507	eV per atom
M_tot	2.34	μB per cell


[6]
This record from the Alexandria database describes DyTmTc after structural relaxation. The functional is PBE-GGA.

```
6
Lattice="-4.6333 -1.5279 1.1715 -0.6597 -4.2237 2.6266 -1.4776 1.5774 6.9575" Properties=species:S:1:pos:R:3 pbc="T T T"
Tc -3.4374 -2.7229 4.3423
Dy -1.5818 0.3073 4.8890
Dy -5.1887 -4.4815 5.8667
Tc -3.3331 -1.4513 6.4134
Tm -1.7312 -1.5134 1.9238
Tm -5.0393 -2.6609 8.8319
```

Calculated values
crystal system	trigonal
relative energy among the computed polymorphs	0.022	eV per atom
formation energy	-0.057	eV/atom
M_tot	0.00	μB per cell


[7]
This record from the Alexandria database describes BaCd6Hg2 after structural relaxation. The functional is PBE-GGA.

```
9
Lattice="4.5765 -0.0001 -0.0001 2.2783 7.7945 1.7695 2.2783 2.1094 7.7095" Properties=species:S:1:pos:R:3 pbc="T T T"
Cd 4.5665 5.9385 3.7087
Cd 6.8478 9.0593 6.5647
Cd 2.2852 0.8446 2.9142
Hg 2.2843 3.7677 3.6061
Cd 4.5665 3.9654 5.7702
Cd 6.8478 6.9555 8.7628
Cd 2.2852 2.9484 0.7161
Ba 4.5764 -0.0001 0.0000
Hg 6.8487 6.1361 5.8728
```

Calculated values
crystal system	monoclinic
relative energy among the computed polymorphs	0.111	eV per atom
formation energy	-0.088	eV/atom
M_tot	0.00	μB per cell


[8]
This record from the Alexandria database describes Ba3Sr3Rh2 after structural relaxation. The functional is PBE-GGA.

```
32
Lattice="11.5543 0.0336 -0.0487 0.0487 11.5542 -0.0487 -0.0336 -0.0336 11.5543" Properties=species:S:1:pos:R:3 pbc="T T T"
Sr 2.2973 8.1653 -0.0014
Sr 5.7738 8.0300 2.3205
Rh 2.8905 8.7180 2.9097
Ba 0.0226 2.0552 7.9365
Rh 8.6788 2.8362 8.5472
Sr 9.2721 3.3890 11.4583
Rh 8.6889 8.6775 2.8204
Ba 5.7320 3.6808 2.1349
Ba 3.5815 0.0199 9.4607
Ba 5.8374 7.8734 9.3219
Rh 2.8401 2.9584 2.8380
Ba 9.3809 5.7271 7.8201
Ba 3.6931 9.3734 5.7764
Sr 8.1803 11.5084 9.2083
Sr 3.3890 0.0458 2.2485
Sr 9.1896 5.7633 3.4711
Rh 8.5996 2.8791 2.7876
Rh 2.9697 8.6751 8.6693
Ba 9.5094 7.9727 -0.0365
Ba 7.8763 2.1808 5.6804
Sr 2.3797 5.7909 7.9858
Ba 2.1884 5.8271 3.6368
Ba 11.5467 9.4990 3.5204
Ba 2.0599 3.5815 11.4934
Sr 8.0420 9.1821 5.7348
Ba 7.9878 11.5343 1.9961
Rh 2.8805 2.8767 8.6364
Rh 8.7293 8.5958 8.6189
Sr 11.5114 2.2866 3.3373
Sr 5.7955 3.5242 9.1363
Sr 3.5273 2.3721 5.7220
Sr 0.0579 9.2676 8.1195
```

Calculated values
crystal system	trigonal
formation energy	-0.107	eV/atom
M_tot	0.00	μB per cell


[9]
This record from the Alexandria database describes Pr16Dy7Y6 after structural relaxation. The functional is PBE-GGA.

```
29
Lattice="-8.7939 -5.5882 -4.5978 -0.0384 -11.3869 -0.1913 -7.1897 -5.7831 6.6756" Properties=species:S:1:pos:R:3 pbc="T T T"
Pr -5.1355 -11.4400 3.9876
Dy -3.6141 -8.5850 3.2421
Dy -4.3969 -2.7941 -2.2989
Pr -5.6056 -7.9624 0.6600
Y -7.6303 -8.7847 3.6009
Pr -10.8865 -11.3183 -2.1010
Pr -2.0137 -8.5501 0.1388
Pr -14.0276 -19.9253 1.6517
Y -7.6480 -14.0639 3.5122
Dy 0.0000 0.0000 0.0000
Pr -1.9944 -2.8330 0.2348
Pr -9.6124 -17.1195 3.9601
Dy -4.4161 -8.4876 -2.3945
Pr -5.6287 -14.8005 0.5451
Pr -10.4164 -14.7958 1.2265
Pr -6.0988 -11.3230 -2.7824
Dy -0.0192 -5.6935 -0.0957
Y -4.3148 -11.3827 0.4172
Pr -9.9232 -11.4353 4.6689
Pr -10.3934 -7.9577 1.3414
Pr -5.6042 -5.7365 3.5865
Dy -7.9918 -5.6857 1.0389
Pr -6.4096 -5.6387 -2.0736
Dy -3.5949 -2.8915 3.3378
Pr -14.0083 -14.2082 1.7477
Y -8.3740 -8.6944 -1.6256
Y -11.7072 -11.3755 1.4693
Y -8.3918 -13.9735 -1.7144
Pr -10.4178 -17.0217 -1.7000
```

Calculated values
crystal system	cubic
formation energy	0.193	eV/atom
M_tot	0.00	μB per cell


[10]
This record from the Alexandria database describes TbHoPt after structural relaxation. The functional is PBE-GGA.

```
6
Lattice="3.5456 0.0000 -0.7537 0.0000 5.1447 0.0000 -0.1182 0.0000 8.1602" Properties=species:S:1:pos:R:3 pbc="T T T"
Ho 2.7061 3.8585 4.0135
Tb 0.2407 3.8585 1.1321
Ho 0.7213 1.2862 3.3929
Tb 3.1867 1.2862 6.2743
Pt 1.4000 3.8585 6.5856
Pt 2.0274 1.2862 0.8208
```

Calculated values
crystal system	orthorhombic
relative energy among the computed polymorphs	0.135	eV per atom
formation energy	-0.811	eV/atom
M_tot	0.00	μB per cell


[11]
This record from the Alexandria database describes Cs3BrN4 after structural relaxation. The functional is PBE-GGA.

```
8
Lattice="-0.9483 -2.9213 -2.8507 5.0182 -2.3665 0.7568 -1.9170 -8.6471 6.4170" Properties=species:S:1:pos:R:3 pbc="T T T"
N 0.4683 -5.7587 -0.4160
N 0.0222 -6.4384 0.4289
Cs -1.1126 -8.1685 2.5779
Cs 2.0350 -2.6439 -1.0470
N 2.1307 -7.4964 3.8942
Br 0.0000 0.0000 0.0000
Cs 3.2655 -5.7664 1.7452
N 1.6847 -8.1761 4.7391
```

Calculated values
crystal system	orthorhombic
energy	-41.648	eV for the cell shown
M_tot	0.00	μB per cell


[12]
This record from the Alexandria database describes PrScAg after structural relaxation. The functional is PBE-GGA.

```
6
Lattice="4.6997 -0.2259 -0.0218 0.2272 4.6996 -0.0221 0.0317 0.0300 7.2620" Properties=species:S:1:pos:R:3 pbc="T T T"
Ag 4.0267 3.8939 0.9838
Pr 4.0375 3.9045 3.9444
Pr 1.5667 1.6605 2.0981
Sc 1.7001 4.0284 6.6521
Sc 3.9355 1.5666 6.6523
Ag 1.5776 1.6710 5.0586
```

Calculated values
crystal system	tetragonal
relative energy among the computed polymorphs	0.000	eV per atom
formation energy	-0.156	eV/atom
M_tot	0.00	μB per cell